VASP calculation (PBE+U) on crystalline CoPdO2 at its relaxed geometry.

Properties
- Calculated density: 6.4 g/cm3
- DFT total energy: -5.463 eV/atom
- Crystal system: tetragonal

a b c (Å): 4.9613 4.9613 8.3573
angles (deg): 90.00 90.00 90.00
Space group I-42d (No. 122)
Unique sites:
Co  0.0000  0.0000  0.0000 x4
Pd  0.0000  0.0000  0.5000 x4
O  0.2100  0.2500  0.1250 x8